Entry 1:
# CdGaAs2Br, optimized geometry, DFT PBE
data_CdGaAs2Br
_chemical_formula_sum 'Cd1 Ga1 As2 Br1'
_symmetry_space_group_name_H-M 'P 4/m m m'
_symmetry_Int_Tables_number 123
_symmetry_space_group_name_Hall '-P 4 2'
_cell_length_a 5.167
_cell_length_b 5.167
_cell_length_c 5.944
_cell_angle_alpha 90.00
_cell_angle_beta 90.00
_cell_angle_gamma 90.00
loop_
_atom_site_label
_atom_site_type_symbol
_atom_site_fract_x
_atom_site_fract_y
_atom_site_fract_z
Cd1 Cd 0.000 0.000 0.000
Ga1 Ga 0.500 0.500 0.500
As1 As 0.000 0.500 0.000
Br1 Br 0.000 0.000 0.500
# E = -2.46 eV per atom
# energy relative to the elements, uncorrected = 525 meV/atom
# magnetic moment = 1.6 μB/f.u.


Entry 2:
# Ca2Si4GePd3, optimized geometry, DFT PBE
data_Ca2Si4GePd3
_chemical_formula_sum 'Ca2 Si4 Ge1 Pd3'
_symmetry_space_group_name_H-M 'P -4 m 2'
_symmetry_Int_Tables_number 115
_symmetry_space_group_name_Hall 'P -4 -2'
_cell_length_a 4.158
_cell_length_b 4.158
_cell_length_c 10.430
_cell_angle_alpha 90.00
_cell_angle_beta 90.00
_cell_angle_gamma 90.00
loop_
_atom_site_label
_atom_site_type_symbol
_atom_site_fract_x
_atom_site_fract_y
_atom_site_fract_z
Ca1 Ca 0.000 0.500 0.245
Si1 Si 0.000 0.000 0.000
Si2 Si 0.000 0.500 0.643
Si3 Si 0.500 0.500 0.000
Ge1 Ge 0.000 0.000 0.500
Pd1 Pd 0.000 0.500 0.874
Pd2 Pd 0.500 0.500 0.500
# E = -5.20 eV per atom
# energy relative to the elements, uncorrected = -607 meV/atom
# magnetic moment = 0.0 μB/f.u.


Entry 3:
# CaZnRh2, optimized geometry, DFT PBE
data_CaZnRh2
_chemical_formula_sum 'Ca1 Zn1 Rh2'
_symmetry_space_group_name_H-M 'P 1 2/m 1'
_symmetry_Int_Tables_number 10
_symmetry_space_group_name_Hall '-P 2y'
_cell_length_a 2.927
_cell_length_b 4.227
_cell_length_c 5.726
_cell_angle_alpha 90.00
_cell_angle_beta 103.31
_cell_angle_gamma 90.00
loop_
_atom_site_label
_atom_site_type_symbol
_atom_site_fract_x
_atom_site_fract_y
_atom_site_fract_z
Ca1 Ca 0.000 0.000 0.000
Zn1 Zn 0.500 0.000 0.500
Rh1 Rh 0.324 0.500 0.707
# E = -4.69 eV per atom
# formation energy from the elements = -0.19 eV/atom
# magnetic moment = 0.0 μB/f.u.


Entry 4:
# VCrB, optimized geometry, DFT PBE
data_VCrB
_chemical_formula_sum 'V2 Cr2 B2'
_symmetry_space_group_name_H-M 'P 1'
_symmetry_Int_Tables_number 1
_symmetry_space_group_name_Hall 'P 1'
_cell_length_a 2.450
_cell_length_b 4.033
_cell_length_c 6.442
_cell_angle_alpha 98.50
_cell_angle_beta 100.03
_cell_angle_gamma 91.64
loop_
_atom_site_label
_atom_site_type_symbol
_atom_site_fract_x
_atom_site_fract_y
_atom_site_fract_z
V1 V 0.000 0.000 0.000
V2 V 0.376 0.886 0.587
Cr1 Cr 0.148 0.436 0.772
Cr2 Cr 0.624 0.333 0.380
B1 B 0.650 0.503 0.072
B2 B 0.735 0.820 0.283
# E = -8.60 eV per atom
# formation energy from the elements = -0.13 eV/atom
# magnetic moment = 0.0 μB/f.u.


Entry 5:
# Sc2ReHgPt, optimized geometry, DFT PBE
data_Sc2ReHgPt
_chemical_formula_sum 'Sc2 Re1 Hg1 Pt1'
_symmetry_space_group_name_H-M 'P 4/m m m'
_symmetry_Int_Tables_number 123
_symmetry_space_group_name_Hall '-P 4 2'
_cell_length_a 5.070
_cell_length_b 5.070
_cell_length_c 4.756
_cell_angle_alpha 90.00
_cell_angle_beta 90.00
_cell_angle_gamma 90.00
loop_
_atom_site_label
_atom_site_type_symbol
_atom_site_fract_x
_atom_site_fract_y
_atom_site_fract_z
Sc1 Sc 0.000 0.500 0.000
Re1 Re 0.000 0.000 0.500
Hg1 Hg 0.500 0.500 0.500
Pt1 Pt 0.000 0.000 0.000
# E = -5.89 eV per atom
# formation energy from the elements = 0.40 eV/atom
# magnetic moment = 0.0 μB/f.u.


Entry 6:
# Ti2ZnReSb, optimized geometry, DFT PBE
data_Ti2ZnReSb
_chemical_formula_sum 'Ti2 Zn1 Re1 Sb1'
_symmetry_space_group_name_H-M 'P 4/m m m'
_symmetry_Int_Tables_number 123
_symmetry_space_group_name_Hall '-P 4 2'
_cell_length_a 4.971
_cell_length_b 4.971
_cell_length_c 4.852
_cell_angle_alpha 90.00
_cell_angle_beta 90.00
_cell_angle_gamma 90.00
loop_
_atom_site_label
_atom_site_type_symbol
_atom_site_fract_x
_atom_site_fract_y
_atom_site_fract_z
Ti1 Ti 0.000 0.500 0.000
Zn1 Zn 0.000 0.000 0.500
Re1 Re 0.500 0.500 0.500
Sb1 Sb 0.500 0.500 0.000
# E = -5.33 eV per atom
# energy relative to the elements, uncorrected = 1400 meV/atom
# magnetic moment = 0.7 μB/f.u.


> The highest magnetic moment belongs to which entry?

CdGaAs2Br